FeCoNiAu | PBE | relaxed

Results
Magnetization in μB/cell: 20.8
DFT formation energy in eV/atom: 0.141
SG: F-43m
Theoretical density in g/cm³: 11.7

Cell and atoms, written as POSCAR:
```
FeCoNiAu
1.0
5.943 0.000 0.000
0.000 5.943 0.000
0.000 0.000 5.943
Fe Co Ni Au
4 4 4 4
Direct
0.000 0.000 0.000
0.000 0.500 0.500
0.500 0.000 0.500
0.500 0.500 0.000
0.250 0.250 0.750
0.250 0.750 0.250
0.750 0.250 0.250
0.750 0.750 0.750
0.250 0.250 0.250
0.250 0.750 0.750
0.750 0.250 0.750
0.750 0.750 0.250
0.000 0.000 0.500
0.000 0.500 0.000
0.500 0.000 0.000
0.500 0.500 0.500
```

---

AcSiPbAu | PBE | relaxed

Results
Raw formation energy in eV per atom: -0.279
Magnetization in μB/cell: 0.0
SG: F-43m
Theoretical density in g/cm³: 10.3

Cell and atoms, written as POSCAR:
```
AcSiPbAu
1.0
7.529 0.000 0.000
0.000 7.529 0.000
0.000 0.000 7.529
Ac Si Pb Au
4 4 4 4
Direct
0.000 0.000 0.000
0.000 0.500 0.500
0.500 0.000 0.500
0.500 0.500 0.000
0.250 0.250 0.250
0.250 0.750 0.750
0.750 0.250 0.750
0.750 0.750 0.250
0.000 0.000 0.500
0.000 0.500 0.000
0.500 0.000 0.000
0.500 0.500 0.500
0.250 0.250 0.750
0.250 0.750 0.250
0.750 0.250 0.250
0.750 0.750 0.750
```

---

PrNd2Zn6 | PBE | relaxed

Results
Magnetization in μB/cell: 0.0
DFT formation energy in eV/atom: -0.345
SG: P6/mmm
Theoretical density in g/cm³: 6.9

Cell and atoms, written as POSCAR:
```
PrNd2Zn6
1.0
7.944 0.000 0.000
-3.972 6.879 0.000
0.000 0.000 3.638
Pr Nd Zn
1 2 6
Direct
0.000 0.000 0.000
0.333 0.667 0.000
0.667 0.333 0.000
0.000 0.334 0.500
0.000 0.666 0.500
0.334 0.000 0.500
0.334 0.334 0.500
0.666 0.000 0.500
0.666 0.666 0.500
```

---

Ca2TiTe | PBE | relaxed

Results
Raw formation energy in eV per atom: 0.044
Magnetization in μB/cell: 11.4
SG: I-42d
Theoretical density in g/cm³: 3.4

Cell and atoms, written as POSCAR:
```
Ca2TiTe
1.0
8.731 0.000 0.000
0.000 8.731 0.000
0.000 0.000 6.632
Ca Ti Te
8 4 4
Direct
0.226 0.250 0.125
0.250 0.726 0.375
0.250 0.774 0.875
0.274 0.250 0.625
0.726 0.750 0.625
0.750 0.226 0.875
0.750 0.274 0.375
0.774 0.750 0.125
0.000 0.000 0.500
0.000 0.500 0.750
0.500 0.000 0.250
0.500 0.500 0.000
0.000 0.000 0.000
0.000 0.500 0.250
0.500 0.000 0.750
0.500 0.500 0.500
```

---

CsTl2Zn2Cl7 | PBE | relaxed

Results
Raw formation energy in eV per atom: -1.254
Magnetization in μB/cell: 0.0
SG: R32
Theoretical density in g/cm³: 3.3

Cell and atoms, written as POSCAR:
```
CsTl2Zn2Cl7
1.0
3.558 2.054 10.647
-3.558 2.054 10.647
0.000 -4.109 10.647
Cs Tl Zn Cl
1 2 2 7
Direct
0.000 0.000 0.000
0.202 0.202 0.202
0.798 0.798 0.798
0.425 0.425 0.425
0.575 0.575 0.575
0.085 0.438 0.697
0.303 0.562 0.915
0.438 0.697 0.085
0.500 0.500 0.500
0.562 0.915 0.303
0.697 0.085 0.438
0.915 0.303 0.562
```

---

Pr3Y3ErTe8 | PBE | relaxed

Results
Raw formation energy in eV per atom: -1.417
Magnetization in μB/cell: 0.0
SG: R-3m
Theoretical density in g/cm³: 6.3

Cell and atoms, written as POSCAR:
```
Pr3Y3ErTe8
1.0
4.411 2.547 7.285
-4.411 2.547 7.285
0.000 -5.094 7.285
Pr Y Er Te
3 3 1 8
Direct
0.000 0.500 0.500
0.500 0.000 0.500
0.500 0.500 0.000
0.000 0.000 0.500
0.000 0.500 0.000
0.500 0.000 0.000
0.500 0.500 0.500
0.242 0.750 0.750
0.246 0.246 0.246
0.250 0.250 0.758
0.250 0.758 0.250
0.750 0.242 0.750
0.750 0.750 0.242
0.754 0.754 0.754
0.758 0.250 0.250
```

---

Ba4Li2N | PBE | relaxed

Results
Offset from the most stable computed form in eV/atom: 0.059
Raw formation energy in eV per atom: -0.068
Magnetization in μB/cell: 0.0
SG: I4/mmm
Theoretical density in g/cm³: 3.2

Cell and atoms, written as POSCAR:
```
Ba4Li2N
1.0
5.725 0.000 0.000
0.000 5.725 0.000
0.000 0.000 18.126
Ba Li N
8 4 2
Direct
0.000 0.000 0.151
0.000 0.000 0.849
0.000 0.500 0.000
0.000 0.500 0.500
0.500 0.000 0.000
0.500 0.000 0.500
0.500 0.500 0.349
0.500 0.500 0.651
0.000 0.000 0.355
0.000 0.000 0.645
0.500 0.500 0.145
0.500 0.500 0.855
0.000 0.000 0.000
0.500 0.500 0.500
```

---

Ba6Te3Se2S | PBE | relaxed

Results
Raw formation energy in eV per atom: -1.907
Magnetization in μB/cell: 0.0
SG: C2/m
Theoretical density in g/cm³: 4.8

Cell and atoms, written as POSCAR:
```
Ba6Te3Se2S
1.0
10.566 -2.415 0.000
10.566 2.415 0.000
-2.283 0.000 9.436
Ba Te Se S
6 3 2 1
Direct
0.003 0.003 0.236
0.330 0.330 0.425
0.339 0.339 0.911
0.661 0.661 0.089
0.670 0.670 0.575
0.997 0.997 0.764
0.167 0.167 0.834
0.500 0.500 0.500
0.833 0.833 0.166
0.166 0.166 0.332
0.834 0.834 0.668
0.500 0.500 0.000
```

---

Which of these has the highest theoretical density? FeCoNiAu